1.
Density functional theory data (PBE) for La2MgBe after structural relaxation.

Values from the calculation:
Energy above the lowest structure with this stoichiometry   222 meV/atom
ΔH_f (0 K)   0.263 eV per atom

abc: 3.6382 3.6382 30.2940
angles: 90.00 90.00 120.00
Space group R-3m (No. 166, hexagonal axes)
Unique sites:
La (0.0000, 0.0000, 0.2347) (multiplicity 6)
Mg (0.0000, 0.0000, 0.0000) (multiplicity 3)
Be (0.0000, 0.0000, 0.5000) (multiplicity 3)

2.
Density functional theory data (PBE) for LaPm4Y8 after structural relaxation.

Values from the calculation:
ΔH_f (0 K)   0.182 eV per atom

abc: 7.4111 7.4111 27.3279
angles: 90.00 90.00 120.00
Space group R-3m (No. 166, hexagonal axes)
Unique sites:
La (0.0000, 0.0000, 0.0000) (multiplicity 3)
Pm (0.0000, 0.0000, 0.5000) (multiplicity 3)
Pm (0.0000, 0.5000, 0.5000) (multiplicity 9)
Y (0.0000, 0.0000, 0.2813) (multiplicity 6)
Y (0.0363, 0.5181, 0.2698) (multiplicity 18)

3.
Density functional theory data (PBE) for Zn2IrPb after structural relaxation.

Values from the calculation:
ΔH_f (0 K)   0.194 eV per atom

abc: 4.093 4.093 8.296
angles: 90.00 90.00 90.00
Space group I4/mmm (No. 139)
Unique sites:
Zn (0.000, 0.500, 0.250) (multiplicity 4)
Ir (0.000, 0.000, 0.000) (multiplicity 2)
Pb (0.000, 0.000, 0.500) (multiplicity 2)

4.
Density functional theory data (PBE) for NaTlFe2Br8 after structural relaxation.

Values from the calculation:
E_form (uncorrected)   -738 meV/atom

abc: 11.575 7.925 9.864
angles: 90.00 92.85 90.00
Space group C2/m (No. 12)
Unique sites:
Na (0.000, 0.000, 0.000) (multiplicity 2)
Tl (0.000, 0.000, 0.500) (multiplicity 2)
Fe (0.119, 0.500, 0.769) (multiplicity 4)
Br (0.004, 0.258, 0.229) (multiplicity 8)
Br (0.214, 0.500, 0.566) (multiplicity 4)
Br (0.239, 0.500, 0.966) (multiplicity 4)

5.
Density functional theory data (PBE) for Er2MgRe after structural relaxation.

Values from the calculation:
ΔH_f (0 K)   0.016 eV per atom

abc: 3.437 3.437 8.113
angles: 90.00 90.00 90.00
Space group P4/mmm (No. 123)
Unique sites:
Er (0.000, 0.000, 0.202) (multiplicity 2)
Mg (0.500, 0.500, 0.500) (multiplicity 1)
Re (0.500, 0.500, 0.000) (multiplicity 1)

6.
Density functional theory data (PBE) for Li2ThAl2Ga2 after structural relaxation.

Values from the calculation:
ΔH_f (0 K)   -0.394 eV per atom

abc: 7.542 4.362 8.307
angles: 90.00 107.73 90.00
Space group C2/m (No. 12)
Unique sites:
Li (0.145, 0.000, 0.436) (multiplicity 4)
Th (0.000, 0.000, 0.000) (multiplicity 2)
Al (0.062, 0.500, 0.687) (multiplicity 4)
Ga (0.242, 0.500, 0.226) (multiplicity 4)

7.
Density functional theory data (PBE) for USiNi3 after structural relaxation.

Values from the calculation:
E_form (uncorrected)   -350 meV/atom
Energy above the lowest structure with this stoichiometry   0 meV/atom

abc: 4.227 5.742 5.791
angles: 90.00 90.00 90.00
Space group Pmmn (No. 59, origin choice 2)
Unique sites:
U (0.250, 0.250, 0.216) (multiplicity 2)
Si (0.250, 0.750, 0.438) (multiplicity 2)
Ni (0.250, 0.047, 0.726) (multiplicity 4)
Ni (0.250, 0.750, 0.058) (multiplicity 2)

8.
Density functional theory data (PBE) for PuCdO4 after structural relaxation.

Values from the calculation:
E_form (uncorrected)   -2050 meV/atom

abc: 6.982 7.165 3.479
angles: 90.00 90.00 90.00
Space group Cmmm (No. 65)
Unique sites:
Pu (0.000, 0.000, 0.000) (multiplicity 2)
Cd (0.000, 0.500, 0.500) (multiplicity 2)
O (0.000, 0.180, 0.500) (multiplicity 4)
O (0.222, 0.500, 0.000) (multiplicity 4)

9.
Density functional theory data (PBE) for TeMoS2N after structural relaxation.

Values from the calculation:
E_form (uncorrected)   930 meV/atom
Energy above the lowest structure with this stoichiometry   663 meV/atom

abc: 4.667 4.667 3.915
angles: 90.00 90.00 90.00
Space group P4/mmm (No. 123)
Unique sites:
Te (0.000, 0.000, 0.000) (multiplicity 1)
Mo (0.500, 0.500, 0.000) (multiplicity 1)
S (0.000, 0.500, 0.500) (multiplicity 2)
N (0.500, 0.500, 0.500) (multiplicity 1)

10.
Density functional theory data (PBE) for NbInSi3 after structural relaxation.

Values from the calculation:
E_form (uncorrected)   1709 meV/atom
Energy above the lowest structure with this stoichiometry   1207 meV/atom

abc: 4.974 4.974 4.974
angles: 90.00 90.00 90.00
Space group Pm-3m (No. 221)
Unique sites:
Nb (0.000, 0.000, 0.000) (multiplicity 1)
In (0.500, 0.500, 0.500) (multiplicity 1)
Si (0.000, 0.500, 0.500) (multiplicity 3)

11.
Density functional theory data (PBE) for MgZn2CuRe after structural relaxation.

Values from the calculation:
ΔH_f (0 K)   0.922 eV per atom

abc: 4.830 4.830 4.667
angles: 90.00 90.00 90.00
Space group P4/mmm (No. 123)
Unique sites:
Mg (0.000, 0.000, 0.000) (multiplicity 1)
Zn (0.000, 0.500, 0.500) (multiplicity 2)
Cu (0.500, 0.500, 0.000) (multiplicity 1)
Re (0.500, 0.500, 0.500) (multiplicity 1)

12.
Density functional theory data (PBE) for NaNi after structural relaxation.

Values from the calculation:
ΔH_f (0 K)   1.146 eV per atom

abc: 5.502 5.502 5.502
angles: 90.00 90.00 90.00
Space group Fm-3m (No. 225)
Unique sites:
Na (0.000, 0.000, 0.000) (multiplicity 4)
Ni (0.000, 0.000, 0.500) (multiplicity 4)

13.
Density functional theory data (PBE) for MoOsRh2 after structural relaxation.

Values from the calculation:
Energy above the lowest structure with this stoichiometry   151 meV/atom
ΔH_f (0 K)   -0.037 eV per atom

abc: 9.071 2.718 4.794
angles: 90.00 99.41 90.00
Space group Cm (No. 8)
Unique sites:
Mo (0.000, 0.000, 0.000) (multiplicity 2)
Os (0.250, 0.000, 0.737) (multiplicity 2)
Rh (0.005, 0.500, 0.507) (multiplicity 2)
Rh (0.247, 0.500, 0.243) (multiplicity 2)

14.
Density functional theory data (PBE) for ZnBPt4 after structural relaxation.

Values from the calculation:
Energy above the lowest structure with this stoichiometry   0 meV/atom
ΔH_f (0 K)   -0.228 eV per atom

abc: 5.659 5.657 5.867
angles: 90.00 103.34 90.00
Space group Cm (No. 8)
Unique sites:
Zn (0.000, 0.000, 0.000) (multiplicity 2)
B (0.099, 0.500, 0.446) (multiplicity 2)
Pt (0.198, 0.245, 0.721) (multiplicity 4)
Pt (0.315, 0.249, 0.282) (multiplicity 4)